1.
First-principles (PBE) data for a relaxed PmScCuGe crystal, as listed in Alexandria.

Cell: 4.908 4.908 4.908 Å, 60.00 60.00 60.00°
Positions (direct):
Cu 0.250 0.250 0.250
Pm 0.500 0.500 0.500
Sc 0.000 0.000 0.000
Ge 0.750 0.750 0.750

Summary:
- symmetry = F-43m
- total magnetization (μB per formula unit) = 0.00
- E_tot (eV/atom) = -5.4099
- ΔH_f (0 K) (meV/atom) = -461
- crystal system = cubic

---

2.
First-principles (PBE) data for a relaxed Pm2CuGeSe5 crystal, as listed in Alexandria.

Cell: 4.125 9.289 11.741 Å, 90.00 90.00 102.83°
Positions (direct):
Pm 0.878 0.756 0.793
Pm 0.887 0.773 0.172
Pm 0.122 0.244 0.293
Pm 0.113 0.227 0.672
Se 0.361 0.721 0.985
Se 0.696 0.391 0.815
Se 0.308 0.616 0.636
Se 0.493 0.987 0.283
Se 0.507 0.013 0.783
Se 0.962 0.924 0.566
Se 0.639 0.279 0.485
Se 0.692 0.384 0.136
Se 0.038 0.076 0.066
Se 0.304 0.609 0.315
Ge 0.591 0.182 0.966
Ge 0.409 0.818 0.466
Cu 0.744 0.489 0.608
Cu 0.256 0.511 0.108

Summary:
- symmetry = Cmc2_1
- total magnetization (μB per formula unit) = 0.00
- uncorrected formation energy (meV per atom) = -1097.7
- E_tot (eV/atom) = -5.0574
- crystal system = orthorhombic